# 1
# Cu2HgMo PBE relaxed
data_Cu2HgMo
_symmetry_space_group_name_H-M 'P m m m'
_symmetry_Int_Tables_number 47
_cell_length_a 2.777
_cell_length_b 4.642
_cell_length_c 4.909
_cell_angle_alpha 90.00
_cell_angle_beta 90.00
_cell_angle_gamma 90.00
loop_
_symmetry_equiv_pos_as_xyz
'x,y,z'
'-x,-y,-z'
'-x,-y,z'
'x,y,-z'
'x,-y,-z'
'-x,y,z'
'-x,y,-z'
'x,-y,z'
loop_
_atom_site_label
_atom_site_type_symbol
_atom_site_fract_x
_atom_site_fract_y
_atom_site_fract_z
Cu1 Cu 0.000 0.000 0.000
Cu2 Cu 0.500 0.000 0.500
Hg1 Hg 0.000 0.500 0.500
Mo1 Mo 0.500 0.500 0.000
# Formation energy = 0.552 eV per atom
# M_tot = 0.3 μB per cell
# Crystal system = orthorhombic

# 2
# BaMnAl2Os PBE relaxed
data_BaMnAl2Os
_symmetry_space_group_name_H-M 'P 4/m m m'
_symmetry_Int_Tables_number 123
_symmetry_space_group_name_Hall '-P 4 2'
_cell_length_a 4.866
_cell_length_b 4.866
_cell_length_c 5.755
_cell_angle_alpha 90.00
_cell_angle_beta 90.00
_cell_angle_gamma 90.00
loop_
_atom_site_label
_atom_site_type_symbol
_atom_site_fract_x
_atom_site_fract_y
_atom_site_fract_z
Ba1 Ba 0.000 0.000 0.000
Mn1 Mn 0.500 0.500 0.000
Al1 Al 0.000 0.500 0.500
Os1 Os 0.000 0.000 0.500
# Formation energy = 0.572 eV per atom
# M_tot = 4.6 μB per cell
# Crystal system = tetragonal

# 3
# SrTaBeS2 PBE relaxed
data_SrTaBeS2
_symmetry_space_group_name_H-M 'P 4/m m m'
_symmetry_Int_Tables_number 123
_symmetry_space_group_name_Hall '-P 4 2'
_cell_length_a 4.462
_cell_length_b 4.462
_cell_length_c 4.684
_cell_angle_alpha 90.00
_cell_angle_beta 90.00
_cell_angle_gamma 90.00
loop_
_atom_site_label
_atom_site_type_symbol
_atom_site_fract_x
_atom_site_fract_y
_atom_site_fract_z
Sr1 Sr 0.000 0.000 0.000
Ta1 Ta 0.500 0.500 0.000
Be1 Be 0.000 0.000 0.500
S1 S 0.000 0.500 0.500
# E_form (uncorrected) = 0.808 eV per atom
# M_tot = 0.0 μB per cell
# Crystal system = tetragonal

# 4
# Ta6MoRu3 PBE relaxed
data_Ta6MoRu3
_symmetry_space_group_name_H-M 'P 1 21/m 1'
_symmetry_Int_Tables_number 11
_cell_length_a 7.860
_cell_length_b 4.537
_cell_length_c 9.633
_cell_angle_alpha 90.00
_cell_angle_beta 105.66
_cell_angle_gamma 90.00
loop_
_symmetry_equiv_pos_as_xyz
'x,y,z'
'-x,-y,-z'
'-x,y+1/2,-z'
'x,-y+1/2,z'
loop_
_atom_site_label
_atom_site_type_symbol
_atom_site_fract_x
_atom_site_fract_y
_atom_site_fract_z
Ta1 Ta 0.048 0.250 0.400
Ta2 Ta 0.149 0.750 0.199
Ta3 Ta 0.253 0.250 0.000
Ta4 Ta 0.348 0.250 0.303
Ta5 Ta 0.352 0.750 0.802
Ta6 Ta 0.448 0.250 0.602
Mo1 Mo 0.451 0.750 0.101
Ru1 Ru 0.051 0.750 0.899
Ru2 Ru 0.145 0.250 0.699
Ru3 Ru 0.243 0.750 0.503
# Formation energy = -0.319 eV per atom
# M_tot = 0.0 μB per cell
# Crystal system = monoclinic

# 5
# Ac6Si2Te3S PBE relaxed
data_Ac6Si2Te3S
_symmetry_space_group_name_H-M 'C 1 2/m 1'
_symmetry_Int_Tables_number 12
_cell_length_a 20.384
_cell_length_b 4.594
_cell_length_c 9.352
_cell_angle_alpha 90.00
_cell_angle_beta 105.34
_cell_angle_gamma 90.00
loop_
_symmetry_equiv_pos_as_xyz
'x,y,z'
'-x,-y,-z'
'-x,y,-z'
'x,-y,z'
'x+1/2,y+1/2,z'
'-x+1/2,-y+1/2,-z'
'-x+1/2,y+1/2,-z'
'x+1/2,-y+1/2,z'
loop_
_atom_site_label
_atom_site_type_symbol
_atom_site_fract_x
_atom_site_fract_y
_atom_site_fract_z
Ac1 Ac 0.008 0.000 0.236
Ac2 Ac 0.162 0.500 0.099
Ac3 Ac 0.173 0.500 0.566
Si1 Si 0.164 0.000 0.328
Te1 Te 0.000 0.500 0.500
Te2 Te 0.166 0.000 0.833
S1 S 0.000 0.500 0.000
# E_form (uncorrected) = -1.341 eV per atom
# M_tot = 0.0 μB per cell
# Crystal system = monoclinic

# 6
# NbTlI5 PBE relaxed
data_NbTlI5
_symmetry_space_group_name_H-M 'C 1 2/c 1'
_symmetry_Int_Tables_number 15
_cell_length_a 16.676
_cell_length_b 8.314
_cell_length_c 10.819
_cell_angle_alpha 90.00
_cell_angle_beta 111.60
_cell_angle_gamma 90.00
loop_
_symmetry_equiv_pos_as_xyz
'x,y,z'
'-x,-y,-z'
'-x,y,-z+1/2'
'x,-y,z+1/2'
'x+1/2,y+1/2,z'
'-x+1/2,-y+1/2,-z'
'-x+1/2,y+1/2,-z+1/2'
'x+1/2,-y+1/2,z+1/2'
loop_
_atom_site_label
_atom_site_type_symbol
_atom_site_fract_x
_atom_site_fract_y
_atom_site_fract_z
Nb1 Nb 0.000 0.000 0.000
Tl1 Tl 0.000 0.437 0.250
I1 I 0.000 0.122 0.750
I2 I 0.127 0.226 0.518
I3 I 0.129 0.225 0.127
# E_form (uncorrected) = -0.440 eV per atom
# M_tot = 4.0 μB per cell
# Crystal system = monoclinic

Q: Look up the M_tot of the fifth one.
A: 0.0 μB per cell